## CrSiAs2 (PBE-GGA)

Data for CrSiAs2 after structural relaxation.

Computed properties:
Total magnetization: 1.83 Bohr magnetons per cell
E_form (uncorrected): 121 kJ/mol of formula units

Lattice parameters (Å, degrees): 4.5751 3.8457 4.9899 90.00 112.39 90.00
With the nearest neighbours (Å) after each atom.
Space group P2/m (No. 10)
One atom of each set of equivalent atoms:
Cr 0.0000 0.0000 0.0000 [1 per cell]  2 Si 2.29, 4 As 2.45
Si 0.5000 0.0000 0.0000 [1 per cell]  2 Cr 2.29
As 0.2267 0.5000 0.3148 [2 per cell]  2 Cr 2.45, 1 As 2.48



## CrSiAs2 (PBE-GGA)

Data for CrSiAs2 after structural relaxation.

Computed properties:
Total magnetization: 2.07 Bohr magnetons per cell
E_form (uncorrected): 26 kJ/mol of formula units

Lattice parameters (Å, degrees): 3.7237 3.5997 5.1816 90.00 110.70 90.00
With the nearest neighbours (Å) after each atom.
Space group Pm (No. 6)
One atom of each set of equivalent atoms:
Cr 0.0000 0.0000 0.0000 [1 per cell]  2 Si 2.51, 6 As 2.68-2.78
Si 0.7355 0.5000 0.6471 [1 per cell]  3 As 2.41-2.48, 2 Cr 2.51
As 0.2515 0.0000 0.5721 [1 per cell]  4 Si 2.48-2.76, 2 Cr 2.69-2.78
As 0.5694 0.5000 0.1527 [1 per cell]  1 Si 2.41, 2 Cr 2.68



## CrSi4As (PBE-GGA)

Data for CrSi4As after structural relaxation.

Computed properties:
Total magnetization: 12.83 Bohr magnetons per cell
E_form (uncorrected): 307 kJ/mol of formula units

Lattice parameters (Å, degrees): 7.1670 7.1670 7.1670 90.00 90.00 90.00
With the nearest neighbours (Å) after each atom.
Space group F-43m (No. 216)
One atom of each set of equivalent atoms:
Cr 0.0000 0.0000 0.0000 [4 per cell]  12 Si 2.97, 4 As 3.10
Si 0.1250 0.1250 0.6250 [16 per cell]  6 Si 2.53
As 0.2500 0.2500 0.2500 [4 per cell]  12 Si 2.97, 4 Cr 3.10



## Cr2SiAs (PBE-GGA)

Data for Cr2SiAs after structural relaxation.

Computed properties:
Total magnetization: 0.32 Bohr magnetons per cell
E_form (uncorrected): -15 kJ/mol of formula units

Lattice parameters (Å, degrees): 8.5805 2.9257 4.3185 90.00 106.23 90.00
With the nearest neighbours (Å) after each atom.
Space group Cm (No. 8)
One atom of each set of equivalent atoms:
Cr 0.0000 0.0000 0.0000 [2 per cell]  3 As 2.46-2.47, 4 Si 2.60-2.62
Cr 0.2392 0.0000 0.6338 [2 per cell]  3 Si 2.45-2.46, 4 As 2.59-2.63
Si 0.0003 0.5000 0.5034 [2 per cell]  7 Cr 2.45-2.62
As 0.2418 0.5000 0.1405 [2 per cell]  7 Cr 2.46-2.63



## CrSiAs2 (PBE-GGA)

Data for CrSiAs2 after structural relaxation.

Computed properties:
Total magnetization: 0.00 Bohr magnetons per cell
E_form (uncorrected): 48 kJ/mol of formula units

Lattice parameters (Å, degrees): 2.9033 2.9033 27.3206 90.00 90.00 120.00
With the nearest neighbours (Å) after each atom.
Space group R3m (No. 160, hexagonal axes)
One atom of each set of equivalent atoms:
Cr 0.0000 0.0000 0.0000 [3 per cell]  3 Si 2.46, 3 As 2.47
Si 0.0000 0.0000 0.2674 [3 per cell]  3 Cr 2.46, 3 As 2.69
As 0.0000 0.0000 0.5238 [3 per cell]  3 Si 2.69, 6 As 2.90
As 0.0000 0.0000 0.7332 [3 per cell]  3 Cr 2.47



## CrSiAs2 (PBE-GGA)

Data for CrSiAs2 after structural relaxation.

Computed properties:
Total magnetization: 16.00 Bohr magnetons per cell
E_form (uncorrected): 40 kJ/mol of formula units

Lattice parameters (Å, degrees): 5.8909 5.8909 10.4019 90.00 90.00 90.00
With the nearest neighbours (Å) after each atom.
Space group I-42d (No. 122)
One atom of each set of equivalent atoms:
Cr 0.0000 0.0000 0.0000 [4 per cell]  4 As 2.52
Si 0.0000 0.0000 0.5000 [4 per cell]  4 As 2.39
As 0.2309 0.2500 0.6250 [8 per cell]  2 Si 2.39, 2 Cr 2.52



## Cr2SiAs (PBE-GGA)

Data for Cr2SiAs after structural relaxation.

Computed properties:
Total magnetization: 0.00 Bohr magnetons per cell
E_form (uncorrected): -39 kJ/mol of formula units

Lattice parameters (Å, degrees): 3.0963 3.0963 5.3058 90.00 90.00 90.00
With the nearest neighbours (Å) after each atom.
Space group P4mm (No. 99)
One atom of each set of equivalent atoms:
Cr 0.0000 0.0000 0.0000 [1 per cell]  4 As 2.45, 2 Si 2.61-2.69, 4 Cr 2.72
Cr 0.5000 0.5000 0.3028 [1 per cell]  4 Si 2.41, 1 As 2.59
Si 0.0000 0.0000 0.4928 [1 per cell]  6 Cr 2.41-2.69
As 0.5000 0.5000 0.7919 [1 per cell]  6 Cr 2.45-2.71, 4 Si 2.70



## Cr2SiAs (PBE-GGA)

Data for Cr2SiAs after structural relaxation.

Computed properties:
Total magnetization: 0.76 Bohr magnetons per cell
E_form (uncorrected): 30 kJ/mol of formula units

Lattice parameters (Å, degrees): 2.8930 2.8930 7.0384 90.00 90.00 90.00
With the nearest neighbours (Å) after each atom.
Space group P4mm (No. 99)
One atom of each set of equivalent atoms:
Cr 0.0000 0.0000 0.0000 [1 per cell]  4 Cr 2.42, 4 As 2.59, 1 Si 2.71
Cr 0.5000 0.5000 0.1839 [1 per cell]  4 Cr 2.42, 4 Si 2.49
Si 0.0000 0.0000 0.3849 [1 per cell]  5 Cr 2.49-2.71
As 0.5000 0.5000 0.7742 [1 per cell]  5 Cr 2.59-2.88, 4 As 2.89



## Cr2SiAs (PBE-GGA)

Data for Cr2SiAs after structural relaxation.

Computed properties:
Total magnetization: 10.70 Bohr magnetons per cell
E_form (uncorrected): 52 kJ/mol of formula units

Lattice parameters (Å, degrees): 3.5977 3.5977 8.7206 90.00 90.00 90.00
With the nearest neighbours (Å) after each atom.
Space group I-4m2 (No. 119)
One atom of each set of equivalent atoms:
Cr 0.0000 0.0000 0.0000 [2 per cell]  4 As 2.54, 4 Cr 2.83, 4 Si 2.83
Cr 0.0000 0.5000 0.2500 [2 per cell]  4 Si 2.54, 4 Cr 2.83, 4 As 2.83
Si 0.0000 0.5000 0.7500 [2 per cell]  8 Cr 2.54-2.83, 4 As 2.83
As 0.0000 0.0000 0.5000 [2 per cell]  8 Cr 2.54-2.83, 4 Si 2.83



## Cr2SiAs (PBE-GGA)

Data for Cr2SiAs after structural relaxation.

Computed properties:
Total magnetization: 2.39 Bohr magnetons per cell
E_form (uncorrected): 18 kJ/mol of formula units

Lattice parameters (Å, degrees): 2.9280 2.9391 5.9782 90.00 90.13 90.00
With the nearest neighbours (Å) after each atom.
Space group P2/m (No. 10)
One atom of each set of equivalent atoms:
Cr 0.0005 0.0000 0.2468 [2 per cell]  4 Si 2.54-2.55, 4 As 2.56-2.57
Si 0.5000 0.5000 0.0000 [1 per cell]  8 Cr 2.54-2.55
As 0.5000 0.5000 0.5000 [1 per cell]  8 Cr 2.56-2.57



## CrSi2As (PBE-GGA)

Data for CrSi2As after structural relaxation.

Computed properties:
Total magnetization: 3.61 Bohr magnetons per cell
E_form (uncorrected): 119 kJ/mol of formula units

Lattice parameters (Å, degrees): 3.3607 4.5506 7.6183 90.00 90.00 90.00
With the nearest neighbours (Å) after each atom.
Space group Imm2 (No. 44)
One atom of each set of equivalent atoms:
Cr 0.0000 0.0000 0.0000 [2 per cell]  6 Si 2.56-2.83, 2 As 2.65
Si 0.0000 0.0000 0.4832 [2 per cell]  2 Si 2.42, 2 As 2.52
Si 0.0000 0.5000 0.7542 [2 per cell]  2 Si 2.42, 2 Cr 2.56
As 0.0000 0.5000 0.2305 [2 per cell]  2 Si 2.52, 2 Cr 2.65



## Cr2SiAs (PBE-GGA)

Data for Cr2SiAs after structural relaxation.

Computed properties:
Total magnetization: 8.47 Bohr magnetons per cell
E_form (uncorrected): 27 kJ/mol of formula units

Lattice parameters (Å, degrees): 5.8966 5.8966 5.8966 90.00 90.00 90.00
With the nearest neighbours (Å) after each atom.
Space group Fm-3m (No. 225)
One atom of each set of equivalent atoms:
Cr 0.2500 0.2500 0.2500 [8 per cell]  4 As 2.55, 4 Si 2.55
Si 0.0000 0.0000 0.0000 [4 per cell]  8 Cr 2.55
As 0.0000 0.0000 0.5000 [4 per cell]  8 Cr 2.55